(1)
{
  "formula": "CaCd2WO6",
  "functional": "PBE+U",
  "state": "optimized geometry",
  "total_energy_ev_per_cell": -119.186,
  "n_ef_per_ev_cell": 0.00,
  "volume_a3_per_atom": 13.3,
  "lattice_angstrom": [[5.630, 0.000, 0.000], [0.000, 5.751, 0.000], [-5.555, 0.000, 8.214]],
  "species": ["Ca", "Ca", "Cd", "Cd", "Cd", "Cd", "W", "W", "O", "O", "O", "O", "O", "O", "O", "O", "O", "O", "O", "O"],
  "frac_coords": [[0.000, 0.000, 0.000], [0.000, 0.500, 0.500], [0.244, 0.040, 0.743], [0.244, 0.460, 0.243], [0.756, 0.540, 0.757], [0.756, 0.960, 0.257], [0.500, 0.000, 0.500], [0.500, 0.500, 0.000], [0.166, 0.075, 0.276], [0.166, 0.425, 0.776], [0.252, 0.663, 0.046], [0.252, 0.837, 0.546], [0.424, 0.213, 0.076], [0.424, 0.287, 0.576], [0.576, 0.713, 0.424], [0.576, 0.787, 0.924], [0.748, 0.163, 0.454], [0.748, 0.337, 0.954], [0.834, 0.575, 0.224], [0.834, 0.925, 0.724]]
}

(2)
{
  "formula": "Na4Li5W10O30",
  "functional": "PBE+U",
  "state": "optimized geometry",
  "total_energy_ev_per_cell": -334.085,
  "volume_a3_per_atom": 12.6,
  "lattice_angstrom": [[8.835, 0.000, 0.000], [1.820, 8.679, 0.000], [0.057, 3.698, 8.065]],
  "species": ["Na", "Na", "Na", "Na", "Li", "Li", "Li", "Li", "Li", "W", "W", "W", "W", "W", "W", "W", "W", "W", "W", "O", "O", "O", "O", "O", "O", "O", "O", "O", "O", "O", "O", "O", "O", "O", "O", "O", "O", "O", "O", "O", "O", "O", "O", "O", "O", "O", "O", "O", "O"],
  "frac_coords": [[0.000, 0.000, 0.000], [0.095, 0.497, 0.197], [0.801, 0.994, 0.598], [0.898, 0.492, 0.800], [0.293, 0.495, 0.509], [0.315, 0.988, 0.848], [0.423, 0.503, 0.050], [0.681, 0.618, 0.360], [0.700, 0.000, 0.156], [0.052, 0.246, 0.595], [0.153, 0.748, 0.798], [0.252, 0.249, 0.996], [0.359, 0.744, 0.204], [0.450, 0.238, 0.400], [0.548, 0.743, 0.603], [0.652, 0.245, 0.794], [0.752, 0.745, 0.997], [0.852, 0.245, 0.199], [0.955, 0.743, 0.406], [0.034, 0.760, 0.595], [0.055, 0.238, 0.093], [0.145, 0.986, 0.696], [0.151, 0.225, 0.802], [0.161, 0.706, 0.316], [0.175, 0.504, 0.897], [0.243, 0.296, 0.483], [0.274, 0.731, 0.999], [0.307, 0.987, 0.089], [0.350, 0.277, 0.182], [0.370, 0.708, 0.717], [0.421, 0.488, 0.301], [0.441, 0.268, 0.885], [0.459, 0.724, 0.409], [0.478, 0.002, 0.503], [0.554, 0.236, 0.609], [0.566, 0.721, 0.120], [0.631, 0.485, 0.692], [0.663, 0.227, 0.304], [0.664, 0.757, 0.796], [0.679, 0.001, 0.929], [0.735, 0.771, 0.486], [0.746, 0.246, 0.994], [0.829, 0.494, 0.091], [0.848, 0.736, 0.210], [0.854, 0.200, 0.719], [0.904, 0.994, 0.271], [0.953, 0.783, 0.897], [0.957, 0.238, 0.406], [0.966, 0.493, 0.528]]
}

(3)
{
  "formula": "Ca2WO5",
  "functional": "PBE+U",
  "state": "optimized geometry",
  "total_energy_ev_per_cell": -229.043,
  "e_above_lowest_polymorph_ev_per_atom": 0.000,
  "n_ef_per_ev_cell": 0.00,
  "volume_a3_per_atom": 13.4,
  "lattice_angstrom": [[7.544, 0.000, 0.000], [0.000, 5.375, 0.000], [-3.574, 0.000, 10.613]],
  "species": ["Ca", "Ca", "Ca", "Ca", "Ca", "Ca", "Ca", "Ca", "W", "W", "W", "W", "O", "O", "O", "O", "O", "O", "O", "O", "O", "O", "O", "O", "O", "O", "O", "O", "O", "O", "O", "O"],
  "frac_coords": [[0.153, 0.070, 0.314], [0.153, 0.430, 0.814], [0.344, 0.509, 0.132], [0.344, 0.991, 0.632], [0.656, 0.009, 0.368], [0.656, 0.491, 0.868], [0.847, 0.570, 0.186], [0.847, 0.930, 0.686], [0.000, 0.000, 0.000], [0.000, 0.500, 0.500], [0.500, 0.000, 0.000], [0.500, 0.500, 0.500], [0.009, 0.236, 0.618], [0.009, 0.264, 0.118], [0.114, 0.711, 0.643], [0.114, 0.789, 0.143], [0.251, 0.131, 0.000], [0.251, 0.369, 0.500], [0.393, 0.692, 0.927], [0.393, 0.808, 0.427], [0.446, 0.155, 0.833], [0.446, 0.345, 0.333], [0.554, 0.655, 0.667], [0.554, 0.845, 0.167], [0.607, 0.192, 0.573], [0.607, 0.308, 0.073], [0.749, 0.631, 0.500], [0.749, 0.869, 0.000], [0.886, 0.211, 0.857], [0.886, 0.289, 0.357], [0.991, 0.736, 0.882], [0.991, 0.764, 0.382]]
}